No. 1
Compound: NbAlTcMo
Source: the Alexandria database
Functional: PBE-GGA
Structure: relaxed

The structure in POSCAR format:
```
NbAlTcMo
1.0
0.000 3.156 3.156
3.156 0.000 3.156
3.156 3.156 0.000
Nb Al Tc Mo
1 1 1 1
direct
0.000 0.000 0.000
0.500 0.500 0.500
0.750 0.750 0.750
0.250 0.250 0.250
```

Output
- Electronic total energy: -8.930 eV/atom
- N(E_F): 4.361 states/eV/f.u.
- Total moment: 0.00 μB/cell
- Energy relative to the elements: -0.177 eV per atom

---

No. 2
Compound: NbAlTe2Mo
Source: the Alexandria database
Functional: PBE-GGA
Structure: relaxed

The structure in POSCAR format:
```
NbAlTe2Mo
1.0
5.485 0.000 0.000
0.000 5.485 0.000
0.000 0.000 4.885
Nb Al Te Mo
1 1 2 1
direct
0.000 0.000 0.000
0.500 0.500 0.500
0.000 0.500 0.000
0.500 0.000 0.000
0.000 0.000 0.500
```

Output
- Electronic total energy: -5.238 eV/atom
- N(E_F): 4.114 states/eV/f.u.
- ΔE_f (raw): 0.95 eV/atom
- Total moment: 2.55 μB/cell

---

No. 3
Compound: TiNbAlMo2
Source: the Alexandria database
Functional: PBE-GGA
Structure: relaxed

The structure in POSCAR format:
```
TiNbAlMo2
1.0
4.541 0.000 0.000
0.000 4.541 0.000
0.000 0.000 4.711
Ti Nb Al Mo
1 1 1 2
direct
0.000 0.000 0.000
0.000 0.000 0.500
0.500 0.500 0.500
0.000 0.500 0.000
0.500 0.000 0.000
```

Output
- Electronic total energy: -7.457 eV/atom
- N(E_F): 3.857 states/eV/f.u.
- Total moment: 0.00 μB/cell
- Energy relative to the elements: 1.217 eV per atom

---

No. 4
Compound: ZrNbAlMo
Source: the Alexandria database
Functional: PBE-GGA
Structure: relaxed

The structure in POSCAR format:
```
ZrNbAlMo
1.0
0.000 3.303 3.303
3.303 0.000 3.303
3.303 3.303 0.000
Zr Nb Al Mo
1 1 1 1
direct
0.000 0.000 0.000
0.500 0.500 0.500
0.250 0.250 0.250
0.750 0.750 0.750
```

Output
- Electronic total energy: -8.478 eV/atom
- N(E_F): 1.177 states/eV/f.u.
- Total moment: 0.00 μB/cell
- Energy relative to the elements: -0.180 eV per atom

---

> The highest total moment belongs to which entry?

NbAlTe2Mo